1.
IrRuRh2 | Alexandria | PBE-GGA | relaxed; DFT total energy = -7.882 eV per atom; DOS at the Fermi energy = 6.18 states/eV/cell; energy relative to the lowest polymorph listed for this composition = 0.3384 eV/atom; formation enthalpy at 0 K = 328 meV/atom
1.0
3.301 0.000 0.000
0.000 3.301 0.000
0.000 0.000 5.377
Ir Ru Rh
1 1 2
Direct
0.000 0.000 0.000
0.000 0.000 0.500
0.500 0.500 0.250
0.500 0.500 0.750

---

2.
GaTe2Os | Alexandria | PBE-GGA | relaxed; ΔE_f (raw) = 340 meV/atom; DFT total energy = -4.795 eV per atom; DOS at the Fermi energy = 5.38 states/eV/cell
1.0
-3.141 3.141 6.055
3.141 -3.141 6.055
3.141 3.141 -6.055
Ga Te Os
2 4 2
Direct
0.000 0.000 0.000
0.750 0.250 0.500
0.163 0.625 0.038
0.375 0.413 0.538
0.587 0.125 0.962
0.875 0.837 0.462
0.250 0.750 0.500
0.500 0.500 0.000

---

3.
AcSb | Alexandria | PBE-GGA | relaxed; ΔE_f (raw) = -1218 meV/atom; DFT total energy = -5.334 eV per atom; DOS at the Fermi energy = 0.29 states/eV/cell; energy relative to the lowest polymorph listed for this composition = 0.0000 eV/atom
1.0
0.000 3.395 3.395
3.395 0.000 3.395
3.395 3.395 0.000
Ac Sb
1 1
Direct
0.000 0.000 0.000
0.500 0.500 0.500

---

4.
ScTlAg2 | Alexandria | PBE-GGA | relaxed; DFT total energy = -3.560 eV per atom; DOS at the Fermi energy = 3.23 states/eV/cell; formation enthalpy at 0 K = 40 meV/atom
1.0
1.697 0.980 9.100
-1.697 0.980 9.100
0.000 -1.960 9.100
Sc Tl Ag
1 1 2
Direct
0.000 0.000 0.000
0.500 0.500 0.500
0.255 0.255 0.255
0.745 0.745 0.745

---

5.
FeHg3Br | Alexandria | PBE-GGA | relaxed; ΔE_f (raw) = 248 meV/atom; DFT total energy = -1.960 eV per atom; DOS at the Fermi energy = 3.61 states/eV/cell; energy relative to the lowest polymorph listed for this composition = 0.0000 eV/atom
1.0
5.262 0.000 0.000
0.000 5.262 0.000
0.000 0.000 5.262
Fe Hg Br
1 3 1
Direct
0.000 0.000 0.000
0.000 0.000 0.500
0.000 0.500 0.000
0.500 0.000 0.000
0.500 0.500 0.500

---

6.
Rb2Mg | Alexandria | PBE-GGA | relaxed; DFT total energy = -1.012 eV per atom; DOS at the Fermi energy = 4.41 states/eV/cell; energy relative to the lowest polymorph listed for this composition = 0.0054 eV/atom; formation enthalpy at 0 K = 165 meV/atom
1.0
-5.044 5.044 3.535
5.044 -5.044 3.535
5.044 5.044 -3.535
Rb Mg
4 2
Direct
0.165 0.665 0.831
0.335 0.165 0.500
0.665 0.835 0.500
0.835 0.335 0.169
0.250 0.250 0.000
0.750 0.750 0.000

---

Q: Which value of DFT total energy does entry 2 give?
A: -4.795 eV per atom

---

Q: What is the formula in the fourth record?
A: ScTlAg2